# Al2SiCl

An optimized crystal structure of Al2SiCl (PBE, Alexandria).

Lattice parameters (Å, degrees): 3.1602 3.1602 24.7758 90.00 90.00 120.00
Space group R-3m (No. 166, hexagonal axes)
Unique sites:
Al: 0.0000 0.0000 0.2471 x6
Si: 0.0000 0.0000 0.5000 x3
Cl: 0.0000 0.0000 0.0000 x3

Output
uncorrected formation energy: 0.08 eV per atom
total magnetic moment: 0.0 μB per formula unit
energy relative to the lowest polymorph listed for this composition: 122 meV/atom